Ti2HIrRu | PBE-GGA | optimized geometry

final energy = -8.0046 eV per atom

CIF file:
```
data_Ti2HIrRu
_chemical_formula_sum 'Ti2 H1 Ir1 Ru1'
_space_group_name_H-M_alt 'P 4/m m m'
_space_group_IT_number 123
_space_group_name_Hall '-P 4 2'
_cell_length_a 4.2062
_cell_length_b 4.2062
_cell_length_c 3.5378
_cell_angle_alpha 90.00
_cell_angle_beta 90.00
_cell_angle_gamma 90.00
loop_
_atom_site_label
_atom_site_type_symbol
_atom_site_fract_x
_atom_site_fract_y
_atom_site_fract_z
Ti1 Ti 0.0000 0.5000 0.0000
H1 H 0.0000 0.0000 0.0000
Ir1 Ir 0.0000 0.0000 0.5000
Ru1 Ru 0.5000 0.5000 0.5000
```